A relaxed structure of Dy4Y9Tm11, computed with PBE.

Summary:
Formation enthalpy at 0 K, eV per atom: 0.04

Structure (CIF):
```
data_Dy4Y9Tm11
_space_group_name_H-M_alt 'P 1'
_space_group_IT_number 1
_cell_length_a 3.646
_cell_length_b 14.977
_cell_length_c 14.977
_cell_angle_alpha 112.95
_cell_angle_beta 90.00
_cell_angle_gamma 90.00
loop_
_space_group_symop_operation_xyz
'x,y,z'
loop_
_atom_site_label
_atom_site_type_symbol
_atom_site_fract_x
_atom_site_fract_y
_atom_site_fract_z
_atom_site_occupancy
Y1 Y 0.500 0.500 0.500 1
Y2 Y 0.500 0.631 0.163 1
Y3 Y 0.500 0.786 0.932 1
Y4 Y 0.500 0.214 0.068 1
Y5 Y 0.500 0.163 0.631 1
Y6 Y 0.500 0.837 0.369 1
Y7 Y 0.500 0.369 0.837 1
Y8 Y 0.500 0.932 0.786 1
Y9 Y 0.500 0.068 0.214 1
Tm1 Tm 0.000 0.045 0.407 1
Tm2 Tm 0.000 0.367 0.633 1
Tm3 Tm 0.000 0.000 0.000 1
Tm4 Tm 0.000 0.955 0.593 1
Tm5 Tm 0.000 0.407 0.045 1
Tm6 Tm 0.000 0.840 0.160 1
Tm7 Tm 0.000 0.160 0.840 1
Tm8 Tm 0.000 0.633 0.367 1
Tm9 Tm 0.000 0.593 0.955 1
Tm10 Tm 0.000 0.709 0.709 1
Tm11 Tm 0.000 0.291 0.291 1
Dy1 Dy 0.500 0.245 0.446 1
Dy2 Dy 0.500 0.755 0.554 1
Dy3 Dy 0.500 0.446 0.245 1
Dy4 Dy 0.500 0.554 0.755 1
```



A relaxed structure of DyY3Tm3, computed with PBE.

Summary:
Offset from the most stable computed form, meV/atom: 0
Formation enthalpy at 0 K, eV per atom: 0.00

Structure (CIF):
```
data_DyY3Tm3
_space_group_name_H-M_alt 'P 1'
_space_group_IT_number 1
_cell_length_a 5.607
_cell_length_b 9.540
_cell_length_c 9.541
_cell_angle_alpha 120.00
_cell_angle_beta 90.00
_cell_angle_gamma 90.00
loop_
_space_group_symop_operation_xyz
'x,y,z'
loop_
_atom_site_label
_atom_site_type_symbol
_atom_site_fract_x
_atom_site_fract_y
_atom_site_fract_z
_atom_site_occupancy
Tm1 Tm 0.250 0.383 0.904 1
Tm2 Tm 0.750 0.478 0.383 1
Tm3 Tm 0.250 0.096 0.479 1
Tm4 Tm 0.750 0.617 0.096 1
Tm5 Tm 0.250 0.522 0.617 1
Tm6 Tm 0.750 0.904 0.521 1
Dy1 Dy 0.750 0.333 0.667 1
Dy2 Dy 0.250 0.667 0.333 1
Y1 Y 0.250 0.240 0.192 1
Y2 Y 0.250 0.951 0.760 1
Y3 Y 0.750 0.760 0.808 1
Y4 Y 0.750 0.192 0.951 1
Y5 Y 0.250 0.808 0.049 1
Y6 Y 0.750 0.049 0.240 1
```



Results for total DFT energy (no corrections): -5.1970; -5.3402 (in eV/atom, following the order of the records).